# 1
NdYPO | OQMD | PBE | optimized geometry; excess energy over the best structure of this formula in the dataset = 0.000 eV/atom; total magnetization = 0.00 μB/f.u.; calculated density = 5.16 Mg/m³; space-group type = Pmc2_1, No. 26
1.0
-1.2108 3.4579 2.1459
2.9627 -2.9595 6.4405
4.8457 2.3966 -1.1278
Nd Y O P
2 2 2 2
direct
0.5000 0.8662 0.9570
0.5000 0.1338 0.4570
0.0000 0.7053 0.4390
0.0000 0.2947 0.9390
0.5000 0.1768 0.9207
0.5000 0.8232 0.4207
0.0000 0.6468 0.9373
0.0000 0.3532 0.4373

# 2
NdZnPO | OQMD | PBE | optimized geometry; final energy = -5.74 eV per atom; total magnetization = 0.00 μB/f.u.; calculated density = 6.12 Mg/m³; space-group type = Pmc2_1, No. 26
1.0
4.9811 0.0000 0.0000
0.0000 4.0762 0.0000
0.0000 0.0000 6.8630
Zn P Nd O
2 2 2 2
direct
0.5000 0.7295 0.9433
0.5000 0.2705 0.4433
0.5000 0.7694 0.2807
0.5000 0.2306 0.7807
0.0000 0.7647 0.5962
0.0000 0.2353 0.0962
0.0000 0.2667 0.4338
0.0000 0.7333 0.9338

# 3
NdZrPO | OQMD | PBE | optimized geometry; excess energy over the best structure of this formula in the dataset = 0.000 eV/atom; total magnetization = 0.02 μB/f.u.; calculated density = 5.97 Mg/m³; space-group type = P4/nmm, No. 129
1.0
4.2267 0.0000 0.0000
0.0000 4.2267 0.0000
0.0000 0.0000 8.7878
Nd O P Zr
2 2 2 2
direct
0.0000 0.5000 0.1232
0.5000 0.0000 0.8768
0.5000 0.5000 0.0000
0.0000 0.0000 0.0000
0.0000 0.5000 0.6777
0.5000 0.0000 0.3223
0.5000 0.5000 0.5000
0.0000 0.0000 0.5000

# 4
NdZrPO | OQMD | PBE | optimized geometry; excess energy over the best structure of this formula in the dataset = 0.218 eV/atom; total magnetization = 0.00 μB/f.u.; calculated density = 5.78 Mg/m³; space-group type = Pmc2_1, No. 26
1.0
-1.7184 -2.0389 3.0557
6.5130 0.5831 4.0517
-1.6750 4.4806 2.0478
Zr P O Nd
2 2 2 2
direct
0.5000 0.7894 0.9383
0.5000 0.2106 0.4383
0.5000 0.8743 0.4384
0.5000 0.1257 0.9384
0.0000 0.3130 0.4380
0.0000 0.6870 0.9380
0.0000 0.6344 0.4393
0.0000 0.3656 0.9393

# 5
NdZrPO | OQMD | PBE | optimized geometry; excess energy over the best structure of this formula in the dataset = 0.612 eV/atom; total magnetization = 0.00 μB/f.u.; calculated density = 6.48 Mg/m³; space-group type = P4/nmm, No. 129
1.0
2.9654 -2.9654 0.0000
2.9654 2.9654 0.0000
0.0000 0.0000 8.2250
P Zr Nd O
2 2 2 2
direct
0.7500 0.7500 0.2562
0.2500 0.2500 0.7438
0.7500 0.7500 0.9016
0.2500 0.2500 0.0984
0.7500 0.2500 0.5000
0.2500 0.7500 0.5000
0.2500 0.7500 0.0000
0.7500 0.2500 0.0000

# 6
NdPa2O7 | OQMD | PBE | optimized geometry; final energy = -8.69 eV per atom; total magnetization = 1.00 μB/f.u.; calculated density = 9.41 Mg/m³; space-group type = I4/mmm, No. 139
1.0
-1.9000 1.9000 8.7778
1.9000 -1.9000 8.7778
1.9000 1.9000 -8.7778
O Pa Nd
7 2 1
direct
0.6015 0.1015 0.5000
0.3985 0.8985 0.5000
0.5000 0.5000 0.0000
0.8985 0.3985 0.5000
0.1015 0.6015 0.5000
0.7500 0.2500 0.5000
0.2500 0.7500 0.5000
0.6663 0.6663 0.0000
0.3337 0.3337 0.0000
0.0000 0.0000 0.0000

# 7
NdPa2O4 | OQMD | PBE | optimized geometry; final energy = -8.44 eV per atom; total magnetization = 2.62 μB/f.u.; calculated density = 8.95 Mg/m³; space-group type = Fd-3m, No. 227
1.0
4.9897 -4.9917 0.0000
-4.9897 0.0000 -4.9917
4.9897 4.9917 0.0000
Nd Pa O
2 4 8
direct
0.7500 0.5000 0.2500
0.0000 0.0000 0.0000
0.3750 0.7500 0.6250
0.3750 0.2500 0.6250
0.3750 0.7500 0.1250
0.8750 0.2500 0.6250
0.1301 0.2604 0.3905
0.6199 0.7604 0.3802
0.1301 0.7396 0.8698
0.1302 0.2604 0.8699
0.6199 0.2396 0.8595
0.6198 0.2396 0.3801
0.6095 0.7396 0.8699
0.1405 0.7604 0.3801

# 8
PrNdPa2Se3O4 | OQMD | PBE | optimized geometry; final energy = -7.69 eV per atom; total magnetization = 2.00 μB/f.u.; calculated density = 8.14 Mg/m³; space-group type = Amm2, No. 38
1.0
-2.5010 -7.3837 4.2043
5.4385 -3.0019 -2.0369
6.2518 -1.3440 1.3587
Se O Pa Pr Nd
3 4 2 1 1
direct
0.0000 0.2774 0.2774
0.3082 0.3784 0.3784
0.6918 0.3784 0.3784
0.2508 0.0901 0.0901
0.5000 0.6352 0.6352
0.0000 0.5842 0.5842
0.7492 0.0901 0.0901
0.7606 0.6873 0.6873
0.2394 0.6873 0.6873
0.5000 0.0029 0.0029
0.0000 0.9834 0.9834

# 9
Nd2Pa2Se3O4 | OQMD | PBE | optimized geometry; final energy = -7.68 eV per atom; total magnetization = 2.00 μB/f.u.; calculated density = 8.20 Mg/m³; space-group type = Amm2, No. 38
1.0
-2.6449 -0.9266 -8.2404
0.6561 -6.5661 0.5277
-2.9573 -5.7049 1.5907
O Se Pa Nd
4 3 2 2
direct
0.7542 0.0824 0.0824
0.0000 0.5761 0.5761
0.2458 0.0824 0.0824
0.5000 0.6220 0.6220
0.0000 0.2799 0.2799
0.3104 0.3840 0.3840
0.6896 0.3840 0.3840
0.5000 0.0116 0.0116
0.0000 0.9875 0.9875
0.2379 0.6933 0.6933
0.7621 0.6933 0.6933

# 10
Nd2Pb2O5 | OQMD | PBE | optimized geometry; final energy = -6.59 eV per atom; total magnetization = 0.00 μB/f.u.; calculated density = 7.77 Mg/m³; space-group type = P4/mmm, No. 123
1.0
-4.2268 2.3563 -6.8393
-3.1707 -3.0111 0.9221
-2.1987 3.0535 2.4108
Pb Nd O
2 2 5
direct
0.5000 0.0000 0.0000
0.0000 0.0000 0.0000
0.7620 0.5000 0.5000
0.2380 0.5000 0.5000
0.8163 0.5000 0.0000
0.1837 0.5000 0.0000
0.8163 0.0000 0.5000
0.5000 0.5000 0.5000
0.1837 0.0000 0.5000

# 11
NdPb2O4 | OQMD | PBE | optimized geometry; final energy = -6.22 eV per atom; total magnetization = 1.00 μB/f.u.; calculated density = 8.10 Mg/m³; space-group type = Fd-3m, No. 227
1.0
5.0344 -5.0360 0.0000
-5.0344 0.0000 -5.0360
5.0344 5.0360 0.0000
Pb Nd O
4 2 8
direct
0.8750 0.2500 0.6250
0.3750 0.2500 0.6250
0.3750 0.7500 0.6250
0.3750 0.7500 0.1250
0.7500 0.5000 0.2500
0.0000 0.0000 0.0000
0.1294 0.2587 0.8707
0.1293 0.7413 0.8706
0.6121 0.7413 0.8707
0.6207 0.2413 0.8621
0.6206 0.2413 0.3793
0.1293 0.2587 0.3879
0.1379 0.7587 0.3793
0.6207 0.7587 0.3794

# 12
Nd2Pb2S2O5 | OQMD | PBE | optimized geometry; final energy = -6.19 eV per atom; total magnetization = 0.01 μB/f.u.; calculated density = 6.85 Mg/m³; space-group type = I4/mmm, No. 139
1.0
-3.2210 9.4788 8.0096
-7.8153 9.0580 4.6096
4.3636 -11.1789 -4.5129
O Pb S Nd
5 2 2 2
direct
0.0000 0.0000 0.0000
0.3861 0.8861 0.5000
0.6139 0.1139 0.5000
0.1139 0.6139 0.5000
0.8861 0.3861 0.5000
0.9184 0.9184 0.0000
0.0816 0.0816 0.0000
0.2082 0.2082 0.0000
0.7918 0.7918 0.0000
0.3254 0.3254 0.0000
0.6746 0.6746 0.0000

# 13
NdTaPb2O6 | OQMD | PBE | optimized geometry; final energy = -7.52 eV per atom; total magnetization = 0.00 μB/f.u.; calculated density = 8.72 Mg/m³; space-group type = P-1, No. 2
1.0
5.3640 0.0000 0.0000
-1.2806 5.2820 0.0000
-0.2371 -0.6797 5.6149
O Nd Pb Ta
6 1 2 1
direct
0.2792 0.2476 0.7465
0.7475 0.2850 0.9718
0.2525 0.7150 0.0282
0.6771 0.6907 0.7360
0.3229 0.3093 0.2640
0.7208 0.7524 0.2535
0.0000 0.0000 0.0000
0.6963 0.2955 0.5298
0.3037 0.7045 0.4702
0.5000 0.5000 0.0000

# 14
NdTePb2O6 | OQMD | PBE | optimized geometry; final energy = -6.08 eV per atom; total magnetization = 0.00 μB/f.u.; calculated density = 8.29 Mg/m³; space-group type = R-3, No. 148
1.0
3.0589 1.7660 4.8333
-3.0589 1.7660 4.8333
0.0000 -3.5321 4.8333
Pb O Te Nd
2 6 1 1
direct
0.2675 0.2675 0.2675
0.7325 0.7325 0.7325
0.1805 0.3523 0.7128
0.2872 0.8195 0.6477
0.6477 0.2872 0.8195
0.7128 0.1805 0.3523
0.8195 0.6477 0.2872
0.3523 0.7128 0.1805
0.5000 0.5000 0.5000
0.0000 0.0000 0.0000

# 15
NdPd2O4 | OQMD | PBE | optimized geometry; excess energy over the best structure of this formula in the dataset = 0.000 eV/atom; total magnetization = 0.15 μB/f.u.; calculated density = 7.97 Mg/m³; space-group type = C2/c, No. 15
1.0
-5.8089 0.9543 2.9230
-0.4949 -6.2249 -2.0503
4.7391 1.3146 3.1660
Pd O Nd
4 8 2
direct
0.5000 0.5000 0.0000
0.5000 0.5000 0.5000
0.0000 0.5000 0.0000
0.5000 0.0000 0.5000
0.7290 0.8761 0.7022
0.1750 0.5279 0.4040
0.8250 0.4721 0.5960
0.4721 0.8250 0.0960
0.8761 0.7290 0.2022
0.1239 0.2710 0.7978
0.5279 0.1750 0.9040
0.2710 0.1239 0.2978
0.8749 0.1251 0.2500
0.1251 0.8749 0.7500

# 16
Nd2Pd2O5 | OQMD | PBE | optimized geometry; excess energy over the best structure of this formula in the dataset = 0.000 eV/atom; total magnetization = 0.00 μB/f.u.; calculated density = 8.36 Mg/m³; space-group type = P4/mmm, No. 123
1.0
7.0523 0.0000 0.0000
0.0000 4.0476 0.0000
0.0000 0.0000 4.0476
O Pd Nd
5 2 2
direct
0.5000 0.5000 0.5000
0.2275 0.0000 0.5000
0.2275 0.5000 0.0000
0.7725 0.5000 0.0000
0.7725 0.0000 0.5000
0.8063 0.5000 0.5000
0.1937 0.5000 0.5000
0.5000 0.0000 0.0000
0.0000 0.0000 0.0000

# 17
NdPd2O4 | OQMD | PBE | optimized geometry; excess energy over the best structure of this formula in the dataset = 0.414 eV/atom; total magnetization = 3.01 μB/f.u.; calculated density = 7.04 Mg/m³; space-group type = Fd-3m, No. 227
1.0
4.6311 -4.6306 0.0000
-4.6311 0.0000 -4.6306
4.6311 4.6306 0.0000
Pd O Nd
4 8 2
direct
0.3750 0.2500 0.6250
0.3750 0.7500 0.6250
0.3750 0.7500 0.1250
0.8750 0.2500 0.6250
0.6096 0.2195 0.3901
0.6099 0.2195 0.8294
0.1401 0.7195 0.8596
0.6099 0.7805 0.3904
0.1404 0.2805 0.8599
0.5794 0.7195 0.8599
0.1706 0.7805 0.3901
0.1401 0.2805 0.4206
0.0000 0.0000 0.0000
0.7500 0.5000 0.2500

# 18
Nd2Pd2O5 | OQMD | PBE | optimized geometry; excess energy over the best structure of this formula in the dataset = 0.367 eV/atom; total magnetization = 0.22 μB/f.u.; calculated density = 6.95 Mg/m³; space-group type = P4/mmm, No. 123
1.0
9.4508 0.0000 0.0000
0.0000 3.8325 0.0000
0.0000 0.0000 3.8325
O Nd Pd
5 2 2
direct
0.8709 0.5000 0.0000
0.8709 0.0000 0.5000
0.1291 0.0000 0.5000
0.5000 0.5000 0.5000
0.1291 0.5000 0.0000
0.2566 0.5000 0.5000
0.7434 0.5000 0.5000
0.0000 0.0000 0.0000
0.5000 0.0000 0.0000

# 19
Pm2Nd2O5 | OQMD | PBE | optimized geometry; excess energy over the best structure of this formula in the dataset = 0.000 eV/atom; total magnetization = 1.42 μB/f.u.; calculated density = 7.17 Mg/m³; space-group type = P4/mmm, No. 123
1.0
7.4361 0.0000 0.0000
0.0000 4.5280 0.0000
0.0000 0.0000 4.5280
Pm O Nd
2 5 2
direct
0.2156 0.5000 0.5000
0.7844 0.5000 0.5000
0.2201 0.0000 0.5000
0.5000 0.5000 0.5000
0.7799 0.5000 0.0000
0.2201 0.5000 0.0000
0.7799 0.0000 0.5000
0.0000 0.0000 0.0000
0.5000 0.0000 0.0000

# 20
Pm2Nd2O5 | OQMD | PBE | optimized geometry; excess energy over the best structure of this formula in the dataset = 0.095 eV/atom; total magnetization = 1.03 μB/f.u.; calculated density = 7.20 Mg/m³; space-group type = P4/mmm, No. 123
1.0
7.3022 0.0000 0.0000
0.0000 4.5604 0.0000
0.0000 0.0000 4.5604
Pm O Nd
2 5 2
direct
0.5000 0.0000 0.0000
0.0000 0.0000 0.0000
0.2146 0.0000 0.5000
0.5000 0.5000 0.5000
0.7854 0.5000 0.0000
0.7854 0.0000 0.5000
0.2146 0.5000 0.0000
0.2099 0.5000 0.5000
0.7901 0.5000 0.5000

# 21
PmNd2O3 | OQMD | PBE | optimized geometry; final energy = -7.59 eV per atom; total magnetization = 0.00 μB/f.u.; calculated density = 8.54 Mg/m³; space-group type = P-3m1, No. 164
1.0
-1.0123 0.2899 -3.3767
2.2303 -2.5707 0.9632
-6.6974 -5.2265 1.5591
Pm Nd O
1 2 3
direct
0.0000 0.0000 0.5000
0.3333 0.6667 0.8329
0.6667 0.3333 0.1671
0.0000 0.0000 0.0000
0.6667 0.3333 0.6612
0.3333 0.6667 0.3388

# 22
PmNdO3 | OQMD | PBE | optimized geometry; final energy = -8.23 eV per atom; total magnetization = 0.00 μB/f.u.; calculated density = 7.41 Mg/m³; space-group type = P3m1, No. 156
1.0
-1.2670 -3.2495 1.5390
3.5359 0.1886 -1.4123
2.0513 1.7427 5.3685
Pm Nd O
1 1 3
direct
0.6667 0.3333 0.7506
0.0000 0.0000 0.2455
0.3333 0.6667 0.9993
0.6667 0.3333 0.3582
0.0000 0.0000 0.6464

# 23
Pm2NdO3 | OQMD | PBE | optimized geometry; final energy = -7.60 eV per atom; total magnetization = 0.01 μB/f.u.; calculated density = 8.65 Mg/m³; space-group type = P-3m1, No. 164
1.0
-2.5714 2.3468 0.5513
-0.2234 -3.2229 1.4095
4.0685 2.8015 7.0508
O Pm Nd
3 2 1
direct
0.0000 0.0000 0.0000
0.6667 0.3333 0.6722
0.3333 0.6667 0.3278
0.6667 0.3333 0.1663
0.3333 0.6667 0.8337
0.0000 0.0000 0.5000